Record 1
KBrCl2: PBEsol geometry, SCAN.

Output
- magnetic moment (μB/cell) = 1.13
- symmetry = No. 71

Cell: 4.583 5.478 5.478 Å, 63.46 65.27 65.27°
Last column: magnetic moment on the atom in μB.
Sites, in units of the cell vectors:
K: 0.500 0.000 0.000  0.00
Br: 0.000 0.500 0.500  0.51
Cl: 0.297 0.703 0.703  0.20
Cl: 0.703 0.297 0.297  0.20

***

Record 2
KBr2Cl: PBEsol geometry, SCAN.

Output
- magnetic moment (μB/cell) = 0.00
- symmetry = No. 8
- polymorph energy (0 for the lowest one) (eV per atom) = 0.0000

Cell: 4.722 5.530 6.233 Å, 93.80 90.00 115.28°
Sites, in units of the cell vectors:
K: 0.733 0.466 0.681
Br: 0.089 0.178 0.958
Br: 0.258 0.516 0.270
Cl: 0.420 0.841 0.591

***

Looking at formation energy (no corrections) for the records above, in order, we have -0.795, -1.057 eV/atom.